# 1
VASP calculation (GGA-PBE) on an optimized crystal structure of Pm3Dy3TlIn2.

The structure belongs to space group P-62m (No. 189); the cell edges are 9.0797, 9.0797 and 3.7641 Å and the angles 90.00°, 90.00° and 120.00°. The asymmetric unit holds Pm at (0.0000, 0.7112, 0.0000), Dy at (0.0000, 0.3835, 0.5000), Tl at (0.0000, 0.0000, 0.5000) and In at (0.3333, 0.6667, 0.0000).

Its formation enthalpy at 0 K is -0.285 eV/atom. The value obtained for the total moment is 0.0 Bohr magnetons per cell.


# 2
VASP calculation (GGA-PBE) on an optimized crystal structure of Ho3OsI3.

The structure belongs to space group P2_1/m (No. 11); the cell edges are 8.833, 4.269 and 12.339 Å and the angles 90.00°, 93.63° and 90.00°. The asymmetric unit holds Ho at (0.094, 0.250, 0.309), Ho at (0.142, 0.250, 0.872), Ho at (0.248, 0.750, 0.100), Os at (0.044, 0.250, 0.087), I at (0.141, 0.250, 0.608), I at (0.345, 0.750, 0.360) and I at (0.431, 0.750, 0.867).

For the uncorrected formation energy, the calculation gives -0.96 eV/atom. The value obtained for the total moment is 0.0 Bohr magnetons per cell.


# 3
VASP calculation (GGA-PBE) on an optimized crystal structure of RuF.

The structure belongs to space group P6_3/m (No. 176); the cell edges are 9.5120, 9.5120 and 2.6737 Å and the angles 90.00°, 90.00° and 120.00°. The asymmetric unit holds Ru at (0.0068, 0.3990, 0.2500) and F at (0.1548, 0.3191, 0.7500).

For the uncorrected formation energy, the calculation gives -0.25 eV/atom. The polymorph energy (0 for the lowest one) is 0.440 eV/atom. The value obtained for the total moment is 5.7 Bohr magnetons per cell.